1.
The following is a PBE calculation of Nd2CuPt5Rh2 after structural relaxation, from the Alexandria database.

Calculated formation energy: -565 meV per atom

Unit cell a=4.0747 b=9.4786 c=9.4786 alpha=90.00 beta=90.00 gamma=90.00
Closest atoms and distances in Å follow each position.
Fractional coordinates of all 20 atoms:
Nd 0.0000 0.6721 0.1721  3 Rh 2.68-2.88
Nd 0.0000 0.3279 0.8279  3 Rh 2.68-2.88
Nd 0.0000 0.1721 0.3279  3 Rh 2.68-2.88
Nd 0.0000 0.8279 0.6721  3 Rh 2.68-2.88
Cu 0.0000 0.0000 0.0000  8 Pt 2.82
Cu 0.0000 0.5000 0.5000  8 Pt 2.82
Pt 0.5000 0.1972 0.0584  2 Rh 2.71, 3 Pt 2.76-2.92, 2 Cu 2.82
Pt 0.5000 0.8028 0.9416  2 Rh 2.71, 3 Pt 2.76-2.92, 2 Cu 2.82
Pt 0.5000 0.0584 0.8028  2 Rh 2.71, 3 Pt 2.76-2.92, 2 Cu 2.82
Pt 0.5000 0.6972 0.4416  2 Rh 2.71, 3 Pt 2.76-2.92, 2 Cu 2.82
Pt 0.5000 0.9416 0.1972  2 Rh 2.71, 3 Pt 2.76-2.92, 2 Cu 2.82
Pt 0.5000 0.3028 0.5584  2 Rh 2.71, 3 Pt 2.76-2.92, 2 Cu 2.82
Pt 0.5000 0.5584 0.6972  2 Rh 2.71, 3 Pt 2.76-2.92, 2 Cu 2.82
Pt 0.5000 0.4416 0.3028  2 Rh 2.71, 3 Pt 2.76-2.92, 2 Cu 2.82
Pt 0.5000 0.5000 0.0000  4 Rh 2.66, 4 Pt 2.92
Pt 0.5000 0.0000 0.5000  4 Rh 2.66, 4 Pt 2.92
Rh 0.0000 0.1280 0.6280  6 Pt 2.66-2.71, 3 Nd 2.68-2.88
Rh 0.0000 0.8720 0.3720  6 Pt 2.66-2.71, 3 Nd 2.68-2.88
Rh 0.0000 0.6280 0.8720  6 Pt 2.66-2.71, 3 Nd 2.68-2.88
Rh 0.0000 0.3720 0.1280  6 Pt 2.66-2.71, 3 Nd 2.68-2.88

=====

2.
The following is a PBE calculation of TlSbIO2 after structural relaxation, from the Alexandria database.

Raw formation energy: -0.87 eV/atom
E above lowest polymorph: 0 meV per atom

Unit cell a=5.5034 b=6.0259 c=7.6213 alpha=113.29 beta=90.00 gamma=90.00
Closest atoms and distances in Å follow each position.
Fractional coordinates of all 10 atoms:
Tl 0.2500 0.6069 0.2139  4 O 2.67
Tl 0.7500 0.3931 0.7861  4 O 2.67
Sb 0.2500 0.9338 0.8676  4 O 2.10
Sb 0.7500 0.0662 0.1324  4 O 2.10
I 0.7500 0.7344 0.4689  2 Tl 3.28
I 0.2500 0.2656 0.5311  2 Tl 3.28
O 0.5000 0.2124 0.0000  2 Sb 2.10
O 0.0000 0.7876 0.0000  2 Sb 2.10
O 0.5000 0.7876 0.0000  2 Sb 2.10
O 0.0000 0.2124 0.0000  2 Sb 2.10